# 1
The following is a PBE calculation of a relaxed structure of ScZn2, from the Open Quantum Materials Database.

Lattice parameters (Å, degrees): 13.5296 3.2698 4.7178 90.00 90.00 90.00
Fractional positions:
Sc 0.6212 0.5000 0.5000
Sc 0.8232 0.5000 0.0000
Sc 0.1212 0.0000 0.5000
Sc 0.3232 0.0000 0.0000
Zn 0.4967 0.5000 0.0000
Zn 0.6542 0.0000 0.0000
Zn 0.4477 0.0000 0.5000
Zn 0.7902 0.0000 0.5000
Zn 0.2902 0.5000 0.5000
Zn 0.1542 0.5000 0.0000
Zn 0.9477 0.5000 0.5000
Zn 0.9967 0.0000 0.0000

=====

# 2
The following is a PBE calculation of a relaxed structure of ScZn3, from the Open Quantum Materials Database.

Lattice parameters (Å, degrees): 5.8459 5.8459 4.3818 90.00 90.00 120.00
Fractional positions:
Zn 0.9858 0.4929 0.0000
Zn 0.8262 0.6525 0.5000
Zn 0.5071 0.0142 0.0000
Zn 0.5071 0.4929 0.0000
Zn 0.3475 0.1738 0.5000
Zn 0.8262 0.1738 0.5000
Sc 0.0000 0.0000 0.0000
Sc 0.3333 0.6667 0.5000

=====

Number 1: VASP energy -0.2355 Ry/atom, formation energy from the elements -252 meV/atom. Number 2: VASP energy -0.2086 Ry/atom, formation energy from the elements -307 meV/atom.